Record 1
Here is crystalline HfTiAl at its relaxed geometry from Alexandria via LeMat-Bulk. Energies are from PBE.

Lattice parameters (Å, degrees): 2.840 4.696 4.696 120.00 90.00 90.00
Site moments in Bohr magnetons follow the coordinates.
Fractional coordinates of all 3 atoms:
Hf 0.166 0.000 0.000  0.00
Al 0.666 0.667 0.333  0.00
Ti 0.167 0.333 0.667  0.17

## Properties
Formation enthalpy at 0 K: -0.049 eV per atom
ρ: 7.8 Mg/m³
Energy relative to the lowest polymorph listed for this composition: 268 meV/atom
V: 18.1 Å³/atom
SG: P-6m2 (187)

***

Record 2
Here is crystalline HfTiAl at its relaxed geometry from Alexandria via LeMat-Bulk. Energies are from PBE.

Lattice parameters (Å, degrees): 4.007 4.007 7.316 90.00 90.00 90.00
Fractional coordinates of all 6 atoms:
Ti 0.336 0.836 0.830
Ti 0.836 0.336 0.170
Al 0.336 0.836 0.205
Al 0.836 0.336 0.795
Hf 0.836 0.836 0.500
Hf 0.336 0.336 0.500

## Properties
Formation enthalpy at 0 K: -0.034 eV per atom
ρ: 7.2 Mg/m³
Energy relative to the lowest polymorph listed for this composition: 283 meV/atom
V: 19.6 Å³/atom
SG: P4/nmm (129)

***

Record 3
Here is crystalline HfTiAl at its relaxed geometry from Alexandria via LeMat-Bulk. Energies are from PBE.

Lattice parameters (Å, degrees): 4.659 4.659 5.815 90.00 90.00 120.00
Fractional coordinates of all 6 atoms:
Hf 0.000 0.500 0.000
Hf 0.000 0.500 0.500
Ti 0.667 0.833 0.750
Ti 0.333 0.167 0.250
Al 0.333 0.167 0.750
Al 0.667 0.833 0.250

## Properties
Formation enthalpy at 0 K: -0.317 eV per atom
ρ: 7.7 Mg/m³
Energy relative to the lowest polymorph listed for this composition: 0 meV/atom
V: 18.2 Å³/atom
SG: P6_3/mmc (194)

***

Record 4
Here is crystalline Hf3Ti4Al2 at its relaxed geometry from Alexandria via LeMat-Bulk. Energies are from PBE.

Lattice parameters (Å, degrees): 4.845 4.647 8.659 93.42 90.00 121.42
Fractional coordinates of all 9 atoms:
Hf 0.331 0.662 0.559
Hf 0.000 0.000 0.000
Hf 0.669 0.338 0.441
Ti 0.669 0.339 0.109
Ti 0.998 0.997 0.668
Ti 0.002 0.003 0.332
Ti 0.331 0.661 0.891
Al 0.336 0.671 0.214
Al 0.664 0.329 0.786

## Properties
Formation enthalpy at 0 K: -0.043 eV per atom
ρ: 7.8 Mg/m³
V: 18.4 Å³/atom
SG: C2/m (12)